# K2NiSe2O6, relaxed, DFT PBE+U
data_K2NiSe2O6
_cell_length_a 12.9112
_cell_length_b 5.3807
_cell_length_c 7.4770
_cell_angle_alpha 90.00
_cell_angle_beta 121.41
_cell_angle_gamma 90.00
_symmetry_space_group_name_H-M 'C 1 2/m 1'
_symmetry_Int_Tables_number 12
loop_
_symmetry_equiv_pos_as_xyz
'x,y,z'
'-x,-y,-z'
'-x,y,-z'
'x,-y,z'
'x+1/2,y+1/2,z'
'-x+1/2,-y+1/2,-z'
'-x+1/2,y+1/2,-z'
'x+1/2,-y+1/2,z'
loop_
_atom_site_label
_atom_site_fract_x
_atom_site_fract_y
_atom_site_fract_z
K1 0.2197 0.0000 0.2412
Ni1 0.0000 0.0000 0.5000
Se1 0.0289 0.5000 0.2472
O1 0.0831 0.2454 0.4183
O2 0.1240 0.5000 0.8797
# Crystal system ... monoclinic
# ρ ... 2.928 g/cm3
# Raw total energy ... -4.92 eV per atom
# Total moment ... 2.00 μB per formula unit